RuIBrN2 after structural relaxation, computed with PBE.

Structure (POSCAR):
```
RuIBrN2
1.0
-3.441 1.429 1.316
-0.045 -2.736 2.851
2.870 3.646 3.545
N Br Ru I
2 1 1 1
direct
0.000 0.500 0.000
0.500 0.000 0.000
0.500 0.500 0.500
0.000 0.000 0.000
0.000 0.000 0.500
```

**Formation energy (no corrections)**: 104.6 kJ per mole of atoms
**Total magnetic moment**: 0.055 μB/atom

RuIBrN2 after structural relaxation, computed with PBE.

Structure (POSCAR):
```
RuIBrN2
1.0
-3.459 1.850 0.151
-0.181 -0.019 -3.921
-3.533 -6.620 0.195
Br Ru N I
1 1 2 1
direct
0.000 0.000 0.000
0.500 0.500 0.500
0.000 0.500 0.000
0.500 0.000 0.000
0.000 0.000 0.500
```

**Formation energy (no corrections)**: 234.9 kJ per mole of atoms
**Total magnetic moment**: 0.697 μB/atom

SbI2BrN after structural relaxation, computed with PBE.

Structure (POSCAR):
```
SbI2BrN
1.0
4.944 0.000 0.000
0.000 4.944 0.000
0.000 0.000 5.180
Br N Sb I
1 1 1 2
direct
0.500 0.500 0.500
0.000 0.000 0.000
0.000 0.000 0.500
0.500 0.000 0.000
0.000 0.500 0.000
```

**Formation energy (no corrections)**: 80.5 kJ per mole of atoms
**Total magnetic moment**: 0.000 μB/atom

SbIBrN2 after structural relaxation, computed with PBE.

Structure (POSCAR):
```
SbIBrN2
1.0
4.286 0.000 0.000
0.000 4.286 0.000
0.000 0.000 7.373
I N Br Sb
1 2 1 1
direct
0.000 0.000 0.500
0.000 0.500 0.000
0.500 0.000 0.000
0.000 0.000 0.000
0.500 0.500 0.500
```

**Formation energy (no corrections)**: 200.6 kJ per mole of atoms
**Total magnetic moment**: 0.652 μB/atom

SbI2BrN after structural relaxation, computed with PBE.

Structure (POSCAR):
```
SbI2BrN
1.0
5.848 0.000 0.000
0.000 5.848 0.000
0.000 0.000 5.749
Br N I Sb
1 1 2 1
direct
0.000 0.000 0.000
0.500 0.500 0.500
0.500 0.000 0.000
0.000 0.500 0.000
0.000 0.000 0.500
```

**Formation energy (no corrections)**: 178.5 kJ per mole of atoms
**Total magnetic moment**: 0.364 μB/atom

SbI2BrN after structural relaxation, computed with PBE.

Structure (POSCAR):
```
SbI2BrN
1.0
-2.347 -3.546 -4.875
3.008 -5.222 2.351
-2.992 -0.810 2.029
I Sb Br N
2 1 1 1
direct
0.500 0.000 0.000
0.000 0.500 0.000
0.500 0.500 0.500
0.000 0.000 0.000
0.000 0.000 0.500
```

**Formation energy (no corrections)**: 118.8 kJ per mole of atoms
**Total magnetic moment**: 0.000 μB/atom

SbIBrN2 after structural relaxation, computed with PBE.

Structure (POSCAR):
```
SbIBrN2
1.0
-1.815 3.253 1.801
1.250 -1.353 3.705
6.454 3.998 -0.717
N Sb I Br
2 1 1 1
direct
0.000 0.500 0.000
0.500 0.000 0.000
0.000 0.000 0.000
0.000 0.000 0.500
0.500 0.500 0.500
```

**Formation energy (no corrections)**: 122.6 kJ per mole of atoms
**Total magnetic moment**: 0.241 μB/atom

SbI2BrN after structural relaxation, computed with PBE.

Structure (POSCAR):
```
SbI2BrN
1.0
6.264 0.000 0.000
0.000 6.264 0.000
0.000 0.000 3.933
Sb I N Br
1 2 1 1
direct
0.000 0.000 0.000
0.000 0.500 0.000
0.500 0.000 0.000
0.000 0.000 0.500
0.500 0.500 0.500
```

**Formation energy (no corrections)**: 70.8 kJ per mole of atoms
**Total magnetic moment**: 0.210 μB/atom

SeI2BrN after structural relaxation, computed with PBE.

Structure (POSCAR):
```
SeI2BrN
1.0
7.513 0.000 0.000
0.000 7.513 0.000
0.000 0.000 3.534
N I Se Br
1 2 1 1
direct
0.000 0.000 0.500
0.000 0.500 0.000
0.500 0.000 0.000
0.500 0.500 0.500
0.000 0.000 0.000
```

**Formation energy (no corrections)**: 134.1 kJ per mole of atoms
**Total magnetic moment**: 0.436 μB/atom

SeI2BrN after structural relaxation, computed with PBE.

Structure (POSCAR):
```
SeI2BrN
1.0
6.341 0.000 0.000
0.000 6.341 0.000
0.000 0.000 3.632
I Br N Se
2 1 1 1
direct
0.000 0.500 0.000
0.500 0.000 0.000
0.500 0.500 0.500
0.000 0.000 0.500
0.000 0.000 0.000
```

**Formation energy (no corrections)**: 84.6 kJ per mole of atoms
**Total magnetic moment**: 0.000 μB/atom

SiI2BrN after structural relaxation, computed with PBE.

Structure (POSCAR):
```
SiI2BrN
1.0
-6.134 0.820 -1.136
-1.327 -1.764 5.892
0.267 3.551 1.123
Br I N Si
1 2 1 1
direct
0.000 0.000 0.000
0.500 0.000 0.000
0.000 0.500 0.000
0.000 0.000 0.500
0.500 0.500 0.500
```

**Formation energy (no corrections)**: 143.0 kJ per mole of atoms
**Total magnetic moment**: 0.000 μB/atom

SiI2BrN after structural relaxation, computed with PBE.

Structure (POSCAR):
```
SiI2BrN
1.0
-1.476 3.369 5.217
0.034 -5.358 3.470
3.118 0.417 0.613
I N Si Br
2 1 1 1
direct
0.000 0.500 0.000
0.500 0.000 0.000
0.000 0.000 0.500
0.000 0.000 0.000
0.500 0.500 0.500
```

**Formation energy (no corrections)**: 28.3 kJ per mole of atoms
**Total magnetic moment**: 0.000 μB/atom

Number 1: energy -4.75 eV/atom. Number 2: energy -3.40 eV/atom. Number 3: energy -2.61 eV/atom. Number 4: energy -2.72 eV/atom. Number 5: energy -1.59 eV/atom. Number 6: energy -2.21 eV/atom. Number 7: energy -3.53 eV/atom. Number 8: energy -2.71 eV/atom. Number 9: energy -1.93 eV/atom. Number 10: energy -2.44 eV/atom. Number 11: energy -2.22 eV/atom. Number 12: energy -3.41 eV/atom.